This record from the Alexandria database describes a relaxed structure of Sm5HoEr3. The functional is PBE-GGA.

Values from the calculation:
DFT formation energy = 0.285 eV/atom
ΔE to the lowest computed polymorph = 0 meV per atom
Volume = 1231.62 Å³ per cell

abc: 18.598 6.393 11.421
angles: 90.00 114.91 90.00
Space group C2/c (No. 15)
One atom of each set of equivalent atoms:
Sm (0.000, 0.105, 0.250) [4 per cell]
Sm (0.165, 0.200, 0.707) [8 per cell]
Sm (0.172, 0.322, 0.362) [8 per cell]
Ho (0.000, 0.373, 0.750) [4 per cell]
Er (0.000, 0.500, 0.000) [4 per cell]
Er (0.161, 0.205, 0.013) [8 per cell]

=====

This record from the Alexandria database describes a relaxed structure of Sm2Ho5Er2. The functional is PBE-GGA.

Values from the calculation:
DFT formation energy = 0.006 eV/atom
ΔE to the lowest computed polymorph = 0 meV per atom
Volume = 283.85 Å³ per cell

abc: 3.580 8.797 9.444
angles: 103.33 100.92 90.02
Space group P-1 (No. 2)
One atom of each set of equivalent atoms:
Sm (0.093, 0.334, 0.185) [2 per cell]
Ho (0.240, 0.668, 0.481) [2 per cell]
Ho (0.426, 0.331, 0.850) [2 per cell]
Ho (0.500, 0.000, 0.000) [1 per cell]
Er (0.166, 0.000, 0.334) [2 per cell]

=====

This record from the Alexandria database describes a relaxed structure of Sm3HoEr4. The functional is PBE-GGA.

Values from the calculation:
DFT formation energy = 0.136 eV/atom
ΔE to the lowest computed polymorph = 121 meV per atom
Volume = 517.13 Å³ per cell

abc: 3.465 11.575 12.895
angles: 90.00 90.00 90.00
Space group Immm (No. 71)
One atom of each set of equivalent atoms:
Sm (0.000, 0.000, 0.000) [2 per cell]
Sm (0.000, 0.500, 0.244) [4 per cell]
Ho (0.000, 0.000, 0.500) [2 per cell]
Er (0.000, 0.246, 0.365) [8 per cell]